Computed, not measured: KSrPrMnO6 after structural relaxation at the GGA+U level of DFT.

Cell: 8.471 8.471 8.471 Å, 90.00 90.00 90.00°
Space group F-43m (No. 216)
Unique sites:
K 0.000 0.000 0.000
Sr 0.000 0.000 0.500
Pr 0.250 0.250 0.250
Mn 0.250 0.250 0.750
O 0.025 0.250 0.750

VASP energy: -6.374 eV/atom


Computed, not measured: K2MnPtO4 after structural relaxation at the GGA+U level of DFT.

Cell: 4.928 12.082 19.944 Å, 90.00 90.00 90.00°
Space group Fddd (No. 70, origin choice 2)
Unique sites:
K 0.125 0.125 0.301
Mn 0.125 0.125 0.125
Pt 0.125 0.125 0.625
O 0.077 0.278 0.427

VASP energy: -5.265 eV/atom


Computed, not measured: K2MnPt2O6 after structural relaxation at the GGA+U level of DFT.

Cell: 5.502 9.675 6.372 Å, 90.00 106.50 90.00°
Space group C2/m (No. 12)
Unique sites:
K 0.000 0.164 0.000
Mn 0.000 0.000 0.500
Pt 0.000 0.334 0.500
O 0.207 0.500 0.670
O 0.228 0.176 0.669

VASP energy: -5.780 eV/atom


Computed, not measured: KPuMn2O8 after structural relaxation at the GGA+U level of DFT.

Cell: 5.7463 5.7463 7.5854 Å, 90.00 90.00 120.00°
Space group P-3m1 (No. 164)
Unique sites:
K 0.0000 0.0000 0.0000
Pu 0.0000 0.0000 0.5000
Mn 0.3333 0.6667 0.2514
O 0.1656 0.3313 0.3317
O 0.3333 0.6667 0.0359

VASP energy: -7.388 eV/atom